No. 1
Here is a relaxed structure of TbHoAl4 from the Open Quantum Materials Database. Energies are from PBE-GGA.

POSCAR file:
```
TbHoAl4
1.0
2.047 -9.751 0.000
2.047 9.751 0.000
0.000 0.000 6.523
Tb Ho Al
2 2 8
direct
0.087 0.913 0.750 Tb
0.913 0.087 0.250 Tb
0.236 0.764 0.250 Ho
0.764 0.236 0.750 Ho
0.072 0.928 0.250 Al
0.357 0.643 0.546 Al
0.357 0.643 0.954 Al
0.500 0.500 0.000 Al
0.500 0.500 0.500 Al
0.643 0.357 0.046 Al
0.643 0.357 0.454 Al
0.928 0.072 0.750 Al
```

---

No. 2
Here is a relaxed structure of Tb2Ho2Al3 from the Open Quantum Materials Database. Energies are from PBE-GGA.

POSCAR file:
```
Tb2Ho2Al3
1.0
5.968 -2.489 0.000
5.968 2.489 0.000
-2.579 0.000 6.085
Tb Ho Al
2 2 3
direct
0.043 0.043 0.280 Tb
0.957 0.957 0.720 Tb
0.318 0.318 0.202 Ho
0.682 0.682 0.798 Ho
0.284 0.284 0.666 Al
0.500 0.500 0.000 Al
0.716 0.716 0.334 Al
```

---

No. 3
Here is a relaxed structure of TbHoAl from the Open Quantum Materials Database. Energies are from PBE-GGA.

POSCAR file:
```
TbHoAl
1.0
0.000 3.579 3.579
3.579 0.000 3.579
3.579 3.579 0.000
Tb Ho Al
1 1 1
direct
0.000 0.000 0.000 Tb
0.750 0.750 0.750 Ho
0.500 0.500 0.500 Al
```

---

No. 4
Here is a relaxed structure of TbHoAlTe3 from the Open Quantum Materials Database. Energies are from PBE-GGA.

POSCAR file:
```
TbHoAlTe3
1.0
2.039 -7.686 0.000
2.039 7.686 0.000
0.000 0.000 10.465
Tb Ho Al Te
2 2 2 6
direct
0.000 0.000 0.000 Tb
0.000 0.000 0.500 Tb
0.219 0.781 0.750 Ho
0.781 0.219 0.250 Ho
0.477 0.523 0.250 Al
0.523 0.477 0.750 Al
0.123 0.877 0.250 Te
0.347 0.653 0.049 Te
0.347 0.653 0.451 Te
0.653 0.347 0.549 Te
0.653 0.347 0.951 Te
0.877 0.123 0.750 Te
```

---

No. 5
Here is a relaxed structure of TbHoAlTe3 from the Open Quantum Materials Database. Energies are from PBE-GGA.

POSCAR file:
```
TbHoAlTe3
1.0
2.045 -7.668 0.000
2.045 7.668 0.000
0.000 0.000 10.453
Tb Ho Al Te
2 2 2 6
direct
0.218 0.782 0.750 Tb
0.782 0.218 0.250 Tb
0.000 0.000 0.000 Ho
0.000 0.000 0.500 Ho
0.477 0.523 0.250 Al
0.523 0.477 0.750 Al
0.121 0.879 0.250 Te
0.348 0.652 0.046 Te
0.348 0.652 0.454 Te
0.652 0.348 0.546 Te
0.652 0.348 0.954 Te
0.879 0.121 0.750 Te
```

---

No. 6
Here is a relaxed structure of HoAlTlTe3 from the Open Quantum Materials Database. Energies are from PBE-GGA.

POSCAR file:
```
HoAlTlTe3
1.0
11.951 0.000 0.000
0.000 4.991 0.000
0.000 0.000 12.747
Ho Al Tl Te
4 4 4 12
direct
0.025 0.250 0.183 Ho
0.475 0.750 0.683 Ho
0.525 0.250 0.317 Ho
0.975 0.750 0.817 Ho
0.239 0.250 0.776 Al
0.261 0.750 0.276 Al
0.739 0.250 0.724 Al
0.761 0.750 0.224 Al
0.188 0.250 0.495 Tl
0.312 0.750 0.995 Tl
0.688 0.250 0.005 Tl
0.812 0.750 0.505 Tl
0.050 0.750 0.344 Te
0.086 0.250 0.934 Te
0.211 0.750 0.691 Te
0.289 0.250 0.191 Te
0.414 0.750 0.434 Te
0.450 0.250 0.844 Te
0.550 0.750 0.156 Te
0.586 0.250 0.566 Te
0.711 0.750 0.809 Te
0.789 0.250 0.309 Te
0.914 0.750 0.066 Te
0.950 0.250 0.656 Te
```

---

No. 7
Here is a relaxed structure of HoAlTlTe3 from the Open Quantum Materials Database. Energies are from PBE-GGA.

POSCAR file:
```
HoAlTlTe3
1.0
2.242 -7.658 0.000
2.242 7.658 0.000
0.000 0.000 11.426
Ho Al Tl Te
2 2 2 6
direct
0.000 0.000 0.000 Ho
0.000 0.000 0.500 Ho
0.471 0.529 0.750 Al
0.529 0.471 0.250 Al
0.235 0.765 0.250 Tl
0.765 0.235 0.750 Tl
0.078 0.922 0.750 Te
0.367 0.633 0.560 Te
0.367 0.633 0.940 Te
0.633 0.367 0.060 Te
0.633 0.367 0.440 Te
0.922 0.078 0.250 Te
```

---

No. 8
Here is a relaxed structure of HoThAl from the Open Quantum Materials Database. Energies are from PBE-GGA.

POSCAR file:
```
HoThAl
1.0
0.000 3.570 3.570
3.570 0.000 3.570
3.570 3.570 0.000
Ho Th Al
1 1 1
direct
0.000 0.000 0.000 Ho
0.500 0.500 0.500 Th
0.250 0.250 0.250 Al
```

---

No. 9
Here is a relaxed structure of Ho2Tm5Al from the Open Quantum Materials Database. Energies are from PBE-GGA.

POSCAR file:
```
Ho2Tm5Al
1.0
5.450 0.000 0.000
0.000 3.476 6.017
0.000 -3.476 6.017
Ho Tm Al
2 5 1
direct
0.000 0.000 0.000 Ho
0.500 0.341 0.341 Ho
0.000 0.000 0.510 Tm
0.000 0.510 0.000 Tm
0.500 0.341 0.830 Tm
0.500 0.830 0.341 Tm
0.500 0.836 0.836 Tm
0.000 0.506 0.506 Al
```

---

No. 10
Here is a relaxed structure of HoTmAl from the Open Quantum Materials Database. Energies are from PBE-GGA.

POSCAR file:
```
HoTmAl
1.0
6.500 0.000 0.000
0.000 5.049 0.000
0.000 0.000 9.363
Ho Tm Al
4 4 4
direct
0.186 0.250 0.072 Ho
0.314 0.750 0.572 Ho
0.686 0.250 0.428 Ho
0.814 0.750 0.928 Ho
0.028 0.250 0.711 Tm
0.472 0.750 0.211 Tm
0.528 0.250 0.789 Tm
0.972 0.750 0.289 Tm
0.207 0.250 0.396 Al
0.293 0.750 0.896 Al
0.707 0.250 0.104 Al
0.793 0.750 0.604 Al
```

---

No. 11
Here is a relaxed structure of HoTmAl2 from the Open Quantum Materials Database. Energies are from PBE-GGA.

POSCAR file:
```
HoTmAl2
1.0
5.066 0.000 0.000
0.000 5.961 3.078
0.000 -5.961 3.078
Ho Tm Al
2 2 4
direct
0.250 0.194 0.806 Ho
0.750 0.806 0.194 Ho
0.250 0.681 0.831 Tm
0.750 0.831 0.681 Tm
0.250 0.201 0.320 Al
0.250 0.651 0.345 Al
0.750 0.320 0.201 Al
0.750 0.345 0.651 Al
```

---

No. 12
Here is a relaxed structure of HoTm2Al from the Open Quantum Materials Database. Energies are from PBE-GGA.

POSCAR file:
```
HoTm2Al
1.0
3.364 -5.857 0.000
3.364 5.857 0.000
0.000 0.000 5.264
Ho Tm Al
2 4 2
direct
0.175 0.825 0.750 Ho
0.825 0.175 0.250 Ho
0.174 0.346 0.750 Tm
0.346 0.174 0.250 Tm
0.654 0.826 0.750 Tm
0.826 0.654 0.250 Tm
0.335 0.665 0.250 Al
0.665 0.335 0.750 Al
```

---

No. 13
Here is a relaxed structure of Ho2Tm3Al3 from the Open Quantum Materials Database. Energies are from PBE-GGA.

POSCAR file:
```
Ho2Tm3Al3
1.0
6.437 0.000 0.000
0.000 4.902 0.000
-1.323 0.000 6.317
Ho Tm Al
2 3 3
direct
0.000 0.000 0.000 Ho
0.293 0.500 0.786 Ho
0.004 0.000 0.500 Tm
0.505 0.000 0.500 Tm
0.716 0.500 0.217 Tm
0.221 0.500 0.282 Al
0.503 0.000 0.003 Al
0.786 0.500 0.718 Al
```

---

No. 14
Here is a relaxed structure of HoTm2Al from the Open Quantum Materials Database. Energies are from PBE-GGA.

POSCAR file:
```
HoTm2Al
1.0
5.288 0.000 0.000
0.000 3.485 5.792
0.000 -3.485 5.792
Ho Tm Al
2 4 2
direct
0.000 0.000 0.000 Ho
0.500 0.295 0.295 Ho
0.000 0.476 0.476 Tm
0.000 0.491 0.965 Tm
0.000 0.965 0.491 Tm
0.500 0.824 0.824 Tm
0.500 0.363 0.778 Al
0.500 0.778 0.363 Al
```

---

No. 15
Here is a relaxed structure of HoTmAl from the Open Quantum Materials Database. Energies are from PBE-GGA.

POSCAR file:
```
HoTmAl
1.0
0.000 3.562 3.562
3.562 0.000 3.562
3.562 3.562 0.000
Ho Tm Al
1 1 1
direct
0.000 0.000 0.000 Ho
0.750 0.750 0.750 Tm
0.250 0.250 0.250 Al
```

---

No. 16
Here is a relaxed structure of HoTmAl2 from the Open Quantum Materials Database. Energies are from PBE-GGA.

POSCAR file:
```
HoTmAl2
1.0
5.026 0.000 0.000
0.000 3.302 5.597
0.000 -3.302 5.597
Ho Tm Al
2 2 4
direct
0.000 0.000 0.000 Ho
0.500 0.328 0.328 Ho
0.000 0.509 0.976 Tm
0.000 0.976 0.509 Tm
0.000 0.498 0.498 Al
0.500 0.368 0.797 Al
0.500 0.797 0.368 Al
0.500 0.825 0.825 Al
```

---

No. 17
Here is a relaxed structure of Ho2Tm3Al3 from the Open Quantum Materials Database. Energies are from PBE-GGA.

POSCAR file:
```
Ho2Tm3Al3
1.0
6.797 0.000 0.000
-3.399 5.886 0.000
0.000 0.000 5.091
Ho Tm Al
2 3 3
direct
0.000 0.000 0.000 Ho
0.333 0.667 0.500 Ho
0.507 0.014 0.000 Tm
0.507 0.493 0.000 Tm
0.986 0.493 0.000 Tm
0.377 0.188 0.500 Al
0.812 0.188 0.500 Al
0.812 0.623 0.500 Al
```

---

No. 18
Here is a relaxed structure of HoTmAl2 from the Open Quantum Materials Database. Energies are from PBE-GGA.

POSCAR file:
```
HoTmAl2
1.0
3.491 -5.119 0.000
3.491 5.119 0.000
0.000 0.000 5.079
Ho Tm Al
2 2 4
direct
0.128 0.872 0.750 Ho
0.872 0.128 0.250 Ho
0.354 0.646 0.250 Tm
0.646 0.354 0.750 Tm
0.157 0.377 0.750 Al
0.377 0.157 0.250 Al
0.623 0.843 0.750 Al
0.843 0.623 0.250 Al
```

---

No. 19
Here is a relaxed structure of HoTm2Al from the Open Quantum Materials Database. Energies are from PBE-GGA.

POSCAR file:
```
HoTm2Al
1.0
4.968 0.000 0.000
0.000 5.174 4.151
0.000 -5.174 4.151
Ho Tm Al
2 4 2
direct
0.250 0.112 0.888 Ho
0.750 0.888 0.112 Ho
0.250 0.522 0.300 Tm
0.250 0.586 0.823 Tm
0.750 0.300 0.522 Tm
0.750 0.823 0.586 Tm
0.250 0.031 0.380 Al
0.750 0.380 0.031 Al
```

---

No. 20
Here is a relaxed structure of Ho2TmAl5 from the Open Quantum Materials Database. Energies are from PBE-GGA.

POSCAR file:
```
Ho2TmAl5
1.0
4.835 0.000 0.000
0.000 3.286 5.380
0.000 -3.286 5.380
Ho Tm Al
2 1 5
direct
0.000 0.000 0.000 Ho
0.500 0.301 0.301 Ho
0.500 0.811 0.811 Tm
0.000 0.498 0.955 Al
0.000 0.500 0.500 Al
0.000 0.955 0.498 Al
0.500 0.347 0.778 Al
0.500 0.778 0.347 Al
```

---

No. 21
Here is a relaxed structure of Y3Ho2Al3 from the Open Quantum Materials Database. Energies are from PBE-GGA.

POSCAR file:
```
Y3Ho2Al3
1.0
6.496 0.000 0.000
0.000 4.968 0.000
-1.494 0.000 6.373
Y Ho Al
3 2 3
direct
0.000 0.000 0.000 Y
0.012 0.000 0.504 Y
0.707 0.500 0.717 Y
0.293 0.500 0.285 Ho
0.501 0.000 0.002 Ho
0.215 0.500 0.785 Al
0.508 0.000 0.499 Al
0.788 0.500 0.221 Al
```

---

No. 22
Here is a relaxed structure of Y2HoAl from the Open Quantum Materials Database. Energies are from PBE-GGA.

POSCAR file:
```
Y2HoAl
1.0
5.313 0.000 0.000
0.000 3.505 5.945
0.000 -3.505 5.945
Y Ho Al
4 2 2
direct
0.000 0.000 0.000 Y
0.000 0.007 0.491 Y
0.000 0.491 0.007 Y
0.500 0.350 0.350 Y
0.000 0.526 0.526 Ho
0.500 0.820 0.820 Ho
0.500 0.306 0.886 Al
0.500 0.886 0.306 Al
```

---

No. 23
Here is a relaxed structure of YHoAl2 from the Open Quantum Materials Database. Energies are from PBE-GGA.

POSCAR file:
```
YHoAl2
1.0
5.104 0.000 0.000
0.000 6.014 3.092
0.000 -6.014 3.092
Y Ho Al
2 2 4
direct
0.250 0.076 0.924 Y
0.750 0.924 0.076 Y
0.250 0.050 0.441 Ho
0.750 0.441 0.050 Ho
0.250 0.563 0.446 Al
0.250 0.587 0.897 Al
0.750 0.446 0.563 Al
0.750 0.897 0.587 Al
```

---

No. 24
Here is a relaxed structure of Y2HoAl from the Open Quantum Materials Database. Energies are from PBE-GGA.

POSCAR file:
```
Y2HoAl
1.0
5.000 0.000 0.000
0.000 5.262 4.220
0.000 -5.262 4.220
Y Ho Al
4 2 2
direct
0.250 0.111 0.889 Y
0.250 0.179 0.417 Y
0.750 0.417 0.179 Y
0.750 0.889 0.111 Y
0.250 0.704 0.483 Ho
0.750 0.483 0.704 Ho
0.250 0.620 0.972 Al
0.750 0.972 0.620 Al
```

---

| no. | total moment (μB/atom) | final energy (eV for the cell shown) |
| --- | --- | --- |
| 1 | 0.000 | -53.296 |
| 2 | 0.002 | -30.949 |
| 3 | 0.010 | -11.415 |
| 4 | 0.001 | -55.676 |
| 5 | 0.001 | -55.656 |
| 6 | 0.001 | -96.461 |
| 7 | 0.001 | -48.425 |
| 8 | 0.004 | -15.585 |
| 9 | 0.004 | -35.566 |
| 10 | 0.002 | -54.751 |
| 11 | 0.001 | -34.596 |
| 12 | 0.003 | -36.132 |
| 13 | 0.000 | -35.765 |
| 14 | 0.001 | -35.249 |
| 15 | 0.002 | -11.272 |
| 16 | 0.002 | -34.724 |
| 17 | 0.008 | -34.862 |
| 18 | 0.000 | -36.174 |
| 19 | 0.006 | -35.917 |
| 20 | 0.003 | -34.736 |
| 21 | 0.008 | -41.758 |
| 22 | 0.003 | -43.126 |
| 23 | 0.003 | -38.458 |
| 24 | 0.091 | -43.881 |